Record 1
In6WO12: optimized geometry, PBE+U.

Magnetization (μB per atom): 0.0000
Uncorrected energy (eV per atom): -6.03
Calculated density (g/cm³): 7.22
DOS(E_F) (states/eV/atom): 0.000

Cell lengths 6.3476, 6.3476, 6.3476 Å; angles 99.14, 99.14, 99.14 degrees
Atoms (fractional coordinates):
1 O 0.5864 0.4052 0.8240
2 O 0.8240 0.5864 0.4052
3 O 0.2953 0.1040 0.9578
4 O 0.4136 0.5948 0.1760
5 O 0.1040 0.9578 0.2953
6 O 0.1760 0.4136 0.5948
7 O 0.9578 0.2953 0.1040
8 O 0.7047 0.8960 0.0422
9 O 0.8960 0.0422 0.7047
10 O 0.0422 0.7047 0.8960
11 O 0.5948 0.1760 0.4136
12 O 0.4052 0.8240 0.5864
13 In 0.3954 0.6757 0.8598
14 In 0.6757 0.8598 0.3954
15 In 0.6046 0.3243 0.1402
16 In 0.3243 0.1402 0.6046
17 In 0.8598 0.3954 0.6757
18 In 0.1402 0.6046 0.3243
19 W 0.0000 0.0000 0.0000

---

Record 2
InWO5: optimized geometry, PBE+U.

Magnetization (μB per atom): 0.1459
Uncorrected energy (eV per atom): -6.45
Calculated density (g/cm³): 6.28
DOS(E_F) (states/eV/atom): 0.409

Cell lengths 3.8064, 5.5085, 5.5085 Å; angles 73.85, 69.79, 69.79 degrees
Site moments in Bohr magnetons follow the coordinates.
Atoms (fractional coordinates):
1 In 0.5000 0.5000 0.5000  -0.01
2 W 0.0000 0.0000 0.0000  -0.11
3 O 0.5000 0.0000 0.0000  0.07
4 O 0.0000 0.2971 0.7029  0.21
5 O 0.2392 0.7608 0.7608  0.23
6 O 0.7608 0.2392 0.2392  0.23
7 O 0.0000 0.7029 0.2971  0.21

---

Record 3
In3WO: optimized geometry, PBE+U.

Magnetization (μB per atom): 0.7002
Uncorrected energy (eV per atom): -3.76
Calculated density (g/cm³): 8.52
DOS(E_F) (states/eV/atom): 0.514
Energy above the lowest structure with this stoichiometry (meV/atom): 0

Cell lengths 4.7345, 4.7345, 4.7345 Å; angles 90.00, 90.00, 90.00 degrees
Site moments in Bohr magnetons follow the coordinates.
Atoms (fractional coordinates):
1 In 0.5000 0.0000 0.0000  -0.08
2 In 0.0000 0.0000 0.5000  -0.08
3 In 0.0000 0.5000 0.0000  -0.07
4 O 0.0000 0.0000 0.0000  -0.10
5 W 0.5000 0.5000 0.5000  3.19

---

Record 4
In2WO6: optimized geometry, PBE+U.

Magnetization (μB per atom): 0.0000
Uncorrected energy (eV per atom): -6.44
Calculated density (g/cm³): 7.35
DOS(E_F) (states/eV/atom): 0.000

Cell lengths 5.1808, 7.5052, 11.9230 Å; angles 83.32, 90.00, 90.00 degrees
Atoms (fractional coordinates):
1 In 0.2345 0.2361 0.8967
2 In 0.7069 0.5000 0.7500
3 In 0.7823 0.0000 0.7500
4 In 0.2177 0.0000 0.2500
5 In 0.7655 0.2361 0.3967
6 In 0.2345 0.7639 0.6033
7 In 0.7655 0.7639 0.1033
8 In 0.2931 0.5000 0.2500
9 O 0.0904 0.0268 0.6266
10 O 0.1042 0.3331 0.4746
11 O 0.9911 0.3066 0.2295
12 O 0.5885 0.4972 0.1199
13 O 0.0089 0.6934 0.7705
14 O 0.0089 0.3066 0.7295
15 O 0.9096 0.0268 0.1266
16 O 0.1042 0.6669 0.0254
17 O 0.8958 0.6669 0.5254
18 O 0.8958 0.3331 0.9746
19 O 0.4115 0.5028 0.8801
20 O 0.5018 0.2046 0.7630
21 O 0.9096 0.9732 0.3734
22 O 0.5018 0.7954 0.7370
23 O 0.0904 0.9732 0.8734
24 O 0.4341 0.1592 0.0527
25 O 0.5659 0.1592 0.5527
26 O 0.4982 0.2046 0.2630
27 O 0.4115 0.4972 0.6199
28 O 0.5659 0.8408 0.9473
29 O 0.4341 0.8408 0.4473
30 O 0.5885 0.5028 0.3801
31 O 0.9911 0.6934 0.2705
32 O 0.4982 0.7954 0.2370
33 W 0.7295 0.2599 0.1087
34 W 0.2705 0.7401 0.8913
35 W 0.7295 0.7401 0.3913
36 W 0.2705 0.2599 0.6087

---

Record 5
InWO2: optimized geometry, PBE+U.

Magnetization (μB per atom): 0.7363
Uncorrected energy (eV per atom): -6.25
Calculated density (g/cm³): 8.45
DOS(E_F) (states/eV/atom): 0.193

Cell lengths 6.9589, 6.9589, 6.9589 Å; angles 27.86, 27.86, 27.86 degrees
Site moments in Bohr magnetons follow the coordinates.
Atoms (fractional coordinates):
1 O 0.1165 0.1165 0.1165  0.02
2 O 0.8835 0.8835 0.8835  0.02
3 In 0.0000 0.0000 0.0000  0.04
4 W 0.5000 0.5000 0.5000  2.67

---

Record 6
In2WO: optimized geometry, PBE+U.

Magnetization (μB per atom): 0.9840
Uncorrected energy (eV per atom): -4.21
Calculated density (g/cm³): 8.77
DOS(E_F) (states/eV/atom): 0.177

Cell lengths 6.8497, 6.8497, 5.9570 Å; angles 54.91, 54.91, 90.00 degrees
Site moments in Bohr magnetons follow the coordinates.
Atoms (fractional coordinates):
1 In 0.5505 0.1250 0.2500  -0.05
2 In 0.8750 0.8005 0.7500  -0.05
3 In 0.1995 0.6250 0.2500  -0.04
4 In 0.3750 0.4495 0.7500  -0.04
5 O 0.2500 0.7500 0.5000  0.07
6 O 0.5000 0.5000 0.0000  0.07
7 W 0.7500 0.2500 0.5000  3.22
8 W 0.0000 0.0000 0.0000  3.22

---

Question: The highest magnetization belongs to which entry?
Answer: In2WO

---

Question: Number 1 is which compound?
Answer: In6WO12